DFT (SCAN) results for a PBEsol-optimized structure of Zr3ReH.

```
Zr3ReH
1.0
4.315 0.000 0.000
0.000 4.315 0.000
0.000 0.000 4.315
Zr Re H
3 1 1
direct
0.000 0.000 0.500
0.000 0.500 0.000
0.500 0.000 0.000
0.500 0.500 0.500
0.000 0.000 0.000
```

**Space-group type**: No. 221
**Energy**: -33.348 eV/atom
**Density**: 9.525 g cm⁻³